# Sc2RuPt PBE relaxed
# Space group = R3m, No. 160
# Fermi-level density of states = 11.49 states/eV per cell
# Raw total energy = -85.09 eV per cell
# Total moment = 0.001 μB per formula unit
data_Sc2RuPt
_chemical_formula_sum 'Sc6 Ru3 Pt3'
_symmetry_space_group_name_H-M 'P 1'
_symmetry_Int_Tables_number 1
_cell_length_a 3.107
_cell_length_b 3.107
_cell_length_c 27.338
_cell_angle_alpha 90.00
_cell_angle_beta 90.00
_cell_angle_gamma 120.00
loop_
_symmetry_equiv_pos_as_xyz
'x,y,z'
loop_
_atom_site_label
_atom_site_type_symbol
_atom_site_fract_x
_atom_site_fract_y
_atom_site_fract_z
Sc1 Sc 0.000 0.000 0.000
Sc2 Sc 0.000 0.000 0.225
Sc3 Sc 0.333 0.667 0.667
Sc4 Sc 0.333 0.667 0.892
Sc5 Sc 0.667 0.333 0.333
Sc6 Sc 0.667 0.333 0.558
Ru1 Ru 0.000 0.000 0.736
Ru2 Ru 0.333 0.667 0.402
Ru3 Ru 0.667 0.333 0.069
Pt1 Pt 0.000 0.000 0.486
Pt2 Pt 0.333 0.667 0.153
Pt3 Pt 0.667 0.333 0.820

# Sc2RuPt PBE relaxed
# Space group = P4mm, No. 99
# Fermi-level density of states = 2.57 states/eV per cell
# Raw total energy = -30.33 eV per cell
# Total moment = 0.000 μB per formula unit
data_Sc2RuPt
_chemical_formula_sum 'Sc2 Ru1 Pt1'
_symmetry_space_group_name_H-M 'P 1'
_symmetry_Int_Tables_number 1
_cell_length_a 3.609
_cell_length_b 3.609
_cell_length_c 5.630
_cell_angle_alpha 90.00
_cell_angle_beta 90.00
_cell_angle_gamma 90.00
loop_
_symmetry_equiv_pos_as_xyz
'x,y,z'
loop_
_atom_site_label
_atom_site_type_symbol
_atom_site_fract_x
_atom_site_fract_y
_atom_site_fract_z
Sc1 Sc 0.000 0.000 0.000
Sc2 Sc 0.500 0.500 0.346
Ru1 Ru 0.500 0.500 0.846
Pt1 Pt 0.000 0.000 0.508

# ScRuPt PBE relaxed
# Space group = P3m1, No. 156
# Fermi-level density of states = 5.77 states/eV per cell
# Raw total energy = -22.62 eV per cell
# Total moment = 0.002 μB per formula unit
data_ScRuPt
_chemical_formula_sum 'Sc1 Ru1 Pt1'
_symmetry_space_group_name_H-M 'P 1'
_symmetry_Int_Tables_number 1
_cell_length_a 4.478
_cell_length_b 4.478
_cell_length_c 2.803
_cell_angle_alpha 90.00
_cell_angle_beta 90.00
_cell_angle_gamma 120.00
loop_
_symmetry_equiv_pos_as_xyz
'x,y,z'
loop_
_atom_site_label
_atom_site_type_symbol
_atom_site_fract_x
_atom_site_fract_y
_atom_site_fract_z
Sc1 Sc 0.000 0.000 0.000
Ru1 Ru 0.333 0.667 0.838
Pt1 Pt 0.667 0.333 0.377